# Y3Er2Ag2 (PBE, optimized geometry)
data_Y3Er2Ag2
_chemical_formula_sum 'Y3 Er2 Ag2'
_cell_length_a 15.3765
_cell_length_b 15.3765
_cell_length_c 3.5675
_cell_angle_alpha 90.00
_cell_angle_beta 90.00
_cell_angle_gamma 166.54
_space_group_name_H-M_alt 'P 1'
_space_group_IT_number 1
loop_
_space_group_symop_operation_xyz
'x,y,z'
loop_
_atom_site_label
_atom_site_type_symbol
_atom_site_fract_x
_atom_site_fract_y
_atom_site_fract_z
_atom_site_occupancy
Y1 Y 0.1223 0.8777 0.0000 1
Y2 Y 0.0000 0.0000 0.0000 1
Y3 Y 0.8777 0.1223 0.0000 1
Er1 Er 0.2981 0.7019 0.5000 1
Er2 Er 0.7019 0.2981 0.5000 1
Ag1 Ag 0.4399 0.5601 0.5000 1
Ag2 Ag 0.5601 0.4399 0.5000 1
# Symmetry: Cmmm
# Calculated formation energy: -97.5 meV/atom
# Total energy: -34.9 eV for the cell shown
# Polymorph energy (0 for the lowest one): 0.04 eV/f.u.

=====

# Pa2TaNi9 (PBE, optimized geometry)
data_Pa2TaNi9
_chemical_formula_sum 'Pa2 Ta1 Ni9'
_cell_length_a 4.8198
_cell_length_b 4.8198
_cell_length_c 8.6442
_cell_angle_alpha 73.81
_cell_angle_beta 73.81
_cell_angle_gamma 60.00
_space_group_name_H-M_alt 'P 1'
_space_group_IT_number 1
loop_
_space_group_symop_operation_xyz
'x,y,z'
loop_
_atom_site_label
_atom_site_type_symbol
_atom_site_fract_x
_atom_site_fract_y
_atom_site_fract_z
_atom_site_occupancy
Pa1 Pa 0.8656 0.8656 0.4032 1
Pa2 Pa 0.1344 0.1344 0.5968 1
Ta1 Ta 0.0000 0.0000 0.0000 1
Ni1 Ni 0.6672 0.6672 0.9985 1
Ni2 Ni 0.3328 0.3328 0.0015 1
Ni3 Ni 0.5000 0.5000 0.5000 1
Ni4 Ni 0.4185 0.4185 0.2445 1
Ni5 Ni 0.9186 0.4185 0.2445 1
Ni6 Ni 0.4185 0.9186 0.2445 1
Ni7 Ni 0.5815 0.5815 0.7555 1
Ni8 Ni 0.5815 0.0814 0.7555 1
Ni9 Ni 0.0814 0.5815 0.7555 1
# Symmetry: R-3m
# Calculated formation energy: -287.2 meV/atom
# Total energy: -86.3 eV for the cell shown

=====

# TlZnAgHg2 (PBE, optimized geometry)
data_TlZnAgHg2
_chemical_formula_sum 'Tl1 Zn1 Ag1 Hg2'
_cell_length_a 5.1515
_cell_length_b 5.1515
_cell_length_c 5.1107
_cell_angle_alpha 90.00
_cell_angle_beta 90.00
_cell_angle_gamma 90.00
_space_group_name_H-M_alt 'P 1'
_space_group_IT_number 1
loop_
_space_group_symop_operation_xyz
'x,y,z'
loop_
_atom_site_label
_atom_site_type_symbol
_atom_site_fract_x
_atom_site_fract_y
_atom_site_fract_z
_atom_site_occupancy
Zn1 Zn 0.0000 0.0000 0.0000 1
Tl1 Tl 0.5000 0.5000 0.5000 1
Hg1 Hg 0.0000 0.5000 0.0000 1
Hg2 Hg 0.5000 0.0000 0.0000 1
Ag1 Ag 0.0000 0.0000 0.5000 1
# Symmetry: P4/mmm
# Calculated formation energy: 179.3 meV/atom
# Total energy: -6.2 eV for the cell shown

=====

# LiY2Te (PBE, optimized geometry)
data_LiY2Te
_chemical_formula_sum 'Li1 Y2 Te1'
_cell_length_a 6.2933
_cell_length_b 6.2933
_cell_length_c 6.2933
_cell_angle_alpha 143.94
_cell_angle_beta 134.11
_cell_angle_gamma 59.71
_space_group_name_H-M_alt 'P 1'
_space_group_IT_number 1
loop_
_space_group_symop_operation_xyz
'x,y,z'
loop_
_atom_site_label
_atom_site_type_symbol
_atom_site_fract_x
_atom_site_fract_y
_atom_site_fract_z
_atom_site_occupancy
Li1 Li 0.4686 0.4686 0.0000 1
Te1 Te 0.2745 0.7745 0.5000 1
Y1 Y 0.0124 0.0124 0.0000 1
Y2 Y 0.7445 0.2445 0.5000 1
# Symmetry: Imm2
# Total energy: -20.0 eV for the cell shown
# E_form (uncorrected): -49 kJ/mol of atoms
# Polymorph energy (0 for the lowest one): 0.69 eV/f.u.

=====

# KRuRh2 (PBE, optimized geometry)
data_KRuRh2
_chemical_formula_sum 'K2 Ru2 Rh4'
_cell_length_a 7.4761
_cell_length_b 7.4761
_cell_length_c 6.0590
_cell_angle_alpha 51.91
_cell_angle_beta 51.91
_cell_angle_gamma 90.00
_space_group_name_H-M_alt 'P 1'
_space_group_IT_number 1
loop_
_space_group_symop_operation_xyz
'x,y,z'
loop_
_atom_site_label
_atom_site_type_symbol
_atom_site_fract_x
_atom_site_fract_y
_atom_site_fract_z
_atom_site_occupancy
Ru1 Ru 0.0000 0.0000 0.0000 1
Ru2 Ru 0.7500 0.2500 0.5000 1
K1 K 0.5000 0.5000 0.0000 1
K2 K 0.2500 0.7500 0.5000 1
Rh1 Rh 0.6942 0.1250 0.2500 1
Rh2 Rh 0.0558 0.6250 0.2500 1
Rh3 Rh 0.3750 0.3058 0.7500 1
Rh4 Rh 0.8750 0.9442 0.7500 1
# Symmetry: I-42d
# Calculated formation energy: 1022.3 meV/atom
# Total energy: -42.0 eV for the cell shown
# Polymorph energy (0 for the lowest one): 2.35 eV/f.u.

=====

# FeHg2Pt (PBE, optimized geometry)
data_FeHg2Pt
_chemical_formula_sum 'Fe1 Hg2 Pt1'
_cell_length_a 5.9747
_cell_length_b 5.9747
_cell_length_c 5.9747
_cell_angle_alpha 152.12
_cell_angle_beta 132.01
_cell_angle_gamma 56.41
_space_group_name_H-M_alt 'P 1'
_space_group_IT_number 1
loop_
_space_group_symop_operation_xyz
'x,y,z'
loop_
_atom_site_label
_atom_site_type_symbol
_atom_site_fract_x
_atom_site_fract_y
_atom_site_fract_z
_atom_site_occupancy
Fe1 Fe 0.7335 0.2335 0.5000 1
Hg1 Hg 0.9710 0.9710 0.0000 1
Hg2 Hg 0.2636 0.7635 0.5000 1
Pt1 Pt 0.5319 0.5319 0.0000 1
# Symmetry: Imm2
# Calculated formation energy: 232.0 meV/atom
# Total energy: -14.2 eV for the cell shown

=====

# Dy4YSc8 (PBE, optimized geometry)
data_Dy4YSc8
_chemical_formula_sum 'Dy4 Y1 Sc8'
_cell_length_a 7.3758
_cell_length_b 7.3758
_cell_length_c 7.3758
_cell_angle_alpha 90.07
_cell_angle_beta 90.07
_cell_angle_gamma 90.07
_space_group_name_H-M_alt 'P 1'
_space_group_IT_number 1
loop_
_space_group_symop_operation_xyz
'x,y,z'
loop_
_atom_site_label
_atom_site_type_symbol
_atom_site_fract_x
_atom_site_fract_y
_atom_site_fract_z
_atom_site_occupancy
Dy1 Dy 0.5000 0.0000 0.5000 1
Dy2 Dy 0.0000 0.5000 0.5000 1
Dy3 Dy 0.5000 0.5000 0.0000 1
Dy4 Dy 0.0000 0.0000 0.0000 1
Y1 Y 0.5000 0.5000 0.5000 1
Sc1 Sc 0.2392 0.7598 0.2392 1
Sc2 Sc 0.7608 0.7608 0.2402 1
Sc3 Sc 0.7608 0.2402 0.7608 1
Sc4 Sc 0.2402 0.7608 0.7608 1
Sc5 Sc 0.7605 0.7605 0.7605 1
Sc6 Sc 0.2395 0.2395 0.2395 1
Sc7 Sc 0.7598 0.2392 0.2392 1
Sc8 Sc 0.2392 0.2392 0.7598 1
# Symmetry: R-3m
# Calculated formation energy: 596.0 meV/atom
# Total energy: -67.8 eV for the cell shown

=====

# Na2NbHg (PBE, optimized geometry)
data_Na2NbHg
_chemical_formula_sum 'Na4 Nb2 Hg2'
_cell_length_a 8.5632
_cell_length_b 8.5632
_cell_length_c 6.7361
_cell_angle_alpha 50.53
_cell_angle_beta 50.53
_cell_angle_gamma 90.00
_space_group_name_H-M_alt 'P 1'
_space_group_IT_number 1
loop_
_space_group_symop_operation_xyz
'x,y,z'
loop_
_atom_site_label
_atom_site_type_symbol
_atom_site_fract_x
_atom_site_fract_y
_atom_site_fract_z
_atom_site_occupancy
Na1 Na 0.6521 0.1250 0.2500 1
Na2 Na 0.0979 0.6250 0.2500 1
Na3 Na 0.3750 0.3479 0.7500 1
Na4 Na 0.8750 0.9021 0.7500 1
Nb1 Nb 0.5000 0.5000 0.0000 1
Nb2 Nb 0.2500 0.7500 0.5000 1
Hg1 Hg 0.0000 0.0000 0.0000 1
Hg2 Hg 0.7500 0.2500 0.5000 1
# Symmetry: I-42d
# Calculated formation energy: 840.8 meV/atom
# Total energy: -19.3 eV for the cell shown

=====

Q: total energy of number 3 (TlZnAgHg2)?
A: -6.2 eV for the cell shown

=====

Q: The lowest total energy belongs to which entry?
A: Pa2TaNi9

=====

Q: What is the total energy in the seventh record?
A: -67.8 eV for the cell shown